! CoAg3C | Alexandria via LeMat-Bulk | GGA-PBE | optimized geometry; values from VASP
! **SG**: Pm-3m, No. 221
! **E_tot**: -3.90 eV per atom
&SYSTEM
  ibrav = 0, nat = 5, ntyp = 3
/
ATOMIC_SPECIES
Co 58.93 Co.upf
Ag 107.87 Ag.upf
C 12.01 C.upf
CELL_PARAMETERS angstrom
4.266 0.000 0.000
0.000 4.266 0.000
0.000 0.000 4.266
ATOMIC_POSITIONS angstrom
Co 0.000 0.000 0.000
Ag 0.000 2.133 2.133
Ag 2.133 0.000 2.133
Ag 2.133 2.133 0.000
C 2.133 2.133 2.133